{"formula": "CeLuHgPd", "functional": "PBE", "state": "optimized geometry", "cell": [[5.1396, 0.0000, 0.0000], [2.5698, 4.4511, 0.0000], [2.5698, 1.4837, 4.1965]], "species": ["Pd", "Lu", "Hg", "Ce"], "fractional_positions": [[0.0000, 0.0000, 0.0000], [0.2500, 0.2500, 0.2500], [0.5000, 0.5000, 0.5000], [0.7500, 0.7500, 0.7500]], "formation_energy_ev_per_atom": -0.52, "spacegroup": "F-43m (216)", "e_tot_ev_per_atom": -4.507}